# 1
Compound: TcHgSb2H
Source: Alexandria
Functional: PBE
Structure: optimized geometry

Results
Energy above the most stable polymorph in this dataset = 0.926 eV per atom

Geometry as CIF:
```
data_TcHgSb2H
_space_group_name_H-M_alt 'P 4/m m m'
_space_group_IT_number 123
_space_group_name_Hall '-P 4 2'
_cell_length_a 5.551
_cell_length_b 5.551
_cell_length_c 5.383
_cell_angle_alpha 90.00
_cell_angle_beta 90.00
_cell_angle_gamma 90.00
loop_
_atom_site_label
_atom_site_type_symbol
_atom_site_fract_x
_atom_site_fract_y
_atom_site_fract_z
_atom_site_occupancy
Tc1 Tc 0.000 0.000 0.000 1
Hg1 Hg 0.000 0.000 0.500 1
Sb1 Sb 0.000 0.500 0.500 1
H1 H 0.500 0.500 0.000 1
```

# 2
Compound: Li3Fe2H7
Source: Alexandria
Functional: PBE
Structure: optimized geometry

Results
Electronic total energy = -3.99 eV per atom

Geometry as CIF:
```
data_Li3Fe2H7
_space_group_name_H-M_alt 'C m m m'
_space_group_IT_number 65
_space_group_name_Hall '-C 2 2'
_cell_length_a 3.228
_cell_length_b 16.870
_cell_length_c 3.142
_cell_angle_alpha 90.00
_cell_angle_beta 90.00
_cell_angle_gamma 90.00
loop_
_atom_site_label
_atom_site_type_symbol
_atom_site_fract_x
_atom_site_fract_y
_atom_site_fract_z
_atom_site_occupancy
Li1 Li 0.000 0.000 0.000 1
Li2 Li 0.000 0.175 0.000 1
Fe1 Fe 0.000 0.402 0.500 1
H1 H 0.000 0.092 0.500 1
H2 H 0.000 0.308 0.500 1
H3 H 0.000 0.419 0.000 1
H4 H 0.000 0.500 0.500 1
```

# 3
Compound: MgTl2Te
Source: Alexandria
Functional: PBE
Structure: optimized geometry

Results
Energy above the most stable polymorph in this dataset = 0.029 eV per atom
E_form (uncorrected) = -0.2074 eV/atom

Geometry as CIF:
```
data_MgTl2Te
_space_group_name_H-M_alt 'P 1 m 1'
_space_group_IT_number 6
_cell_length_a 4.369
_cell_length_b 4.280
_cell_length_c 6.993
_cell_angle_alpha 90.00
_cell_angle_beta 107.80
_cell_angle_gamma 90.00
loop_
_space_group_symop_operation_xyz
'x,y,z'
'x,-y,z'
loop_
_atom_site_label
_atom_site_type_symbol
_atom_site_fract_x
_atom_site_fract_y
_atom_site_fract_z
_atom_site_occupancy
Mg1 Mg 0.000 0.000 0.000 1
Tl1 Tl 0.240 0.000 0.492 1
Tl2 Tl 0.581 0.500 0.165 1
Te1 Te 0.850 0.500 0.718 1
```

# 4
Compound: LiBiP2S
Source: Alexandria
Functional: PBE
Structure: optimized geometry

Results
Energy above the most stable polymorph in this dataset = 0.245 eV per atom
E_form (uncorrected) = 0.7785 eV/atom

Geometry as CIF:
```
data_LiBiP2S
_space_group_name_H-M_alt 'P 4/m m m'
_space_group_IT_number 123
_space_group_name_Hall '-P 4 2'
_cell_length_a 5.367
_cell_length_b 5.367
_cell_length_c 5.383
_cell_angle_alpha 90.00
_cell_angle_beta 90.00
_cell_angle_gamma 90.00
loop_
_atom_site_label
_atom_site_type_symbol
_atom_site_fract_x
_atom_site_fract_y
_atom_site_fract_z
_atom_site_occupancy
Li1 Li 0.000 0.000 0.000 1
Bi1 Bi 0.500 0.500 0.500 1
P1 P 0.000 0.500 0.500 1
S1 S 0.500 0.500 0.000 1
```

M_tot across the listed records, respectively: 0.875; 0.102; 0.000; 0.509 μB per atom.